Record 1
# Ca3Pa3InN8 | Alexandria via LeMat-Bulk | GGA-PBE | optimized geometry
data_Ca3Pa3InN8
_chemical_formula_sum 'Ca9 Pa9 In3 N24'
_space_group_name_H-M_alt 'R -3 m'
_space_group_IT_number 166
_space_group_name_Hall '-R 3 2"'
_cell_length_a 7.0005
_cell_length_b 7.0005
_cell_length_c 17.0589
_cell_angle_alpha 90.00
_cell_angle_beta 90.00
_cell_angle_gamma 120.00
loop_
_atom_site_label
_atom_site_type_symbol
_atom_site_fract_x
_atom_site_fract_y
_atom_site_fract_z
Ca1 Ca 0.0000 0.5000 0.0000
Pa1 Pa 0.0000 0.5000 0.5000
In1 In 0.0000 0.0000 0.5000
N1 N 0.0000 0.0000 0.2410
N2 N 0.0092 0.5046 0.7656
# Total DFT energy (no corrections): -8.06 eV per atom

***

Record 2
# Ca2InPbN | Alexandria via LeMat-Bulk | GGA-PBE | optimized geometry
data_Ca2InPbN
_chemical_formula_sum 'Ca2 In1 Pb1 N1'
_space_group_name_H-M_alt 'P 4/m m m'
_space_group_IT_number 123
_space_group_name_Hall '-P 4 2'
_cell_length_a 4.876
_cell_length_b 4.876
_cell_length_c 4.794
_cell_angle_alpha 90.00
_cell_angle_beta 90.00
_cell_angle_gamma 90.00
loop_
_atom_site_label
_atom_site_type_symbol
_atom_site_fract_x
_atom_site_fract_y
_atom_site_fract_z
Ca1 Ca 0.000 0.500 0.000
In1 In 0.000 0.000 0.500
Pb1 Pb 0.500 0.500 0.500
N1 N 0.000 0.000 0.000
# Total DFT energy (no corrections): -4.25 eV per atom
# Density of states at the Fermi level: 1.5 states/eV/cell

***

Record 3
# Ca12InPb4N3 | Alexandria via LeMat-Bulk | GGA-PBE | optimized geometry
data_Ca12InPb4N3
_chemical_formula_sum 'Ca24 In2 Pb8 N6'
_space_group_name_H-M_alt 'I m -3 m'
_space_group_IT_number 229
_space_group_name_Hall '-I 4 2 3'
_cell_length_a 10.307
_cell_length_b 10.307
_cell_length_c 10.307
_cell_angle_alpha 90.00
_cell_angle_beta 90.00
_cell_angle_gamma 90.00
loop_
_atom_site_label
_atom_site_type_symbol
_atom_site_fract_x
_atom_site_fract_y
_atom_site_fract_z
Ca1 Ca 0.000 0.000 0.284
Ca2 Ca 0.000 0.250 0.500
In1 In 0.000 0.000 0.000
Pb1 Pb 0.250 0.250 0.250
N1 N 0.000 0.000 0.500
# Total DFT energy (no corrections): -3.95 eV per atom
# Density of states at the Fermi level: 19.4 states/eV/cell

***

Record 4
# Ca2PmInN | Alexandria via LeMat-Bulk | GGA-PBE | optimized geometry
data_Ca2PmInN
_chemical_formula_sum 'Ca2 Pm1 In1 N1'
_space_group_name_H-M_alt 'P 4/m m m'
_space_group_IT_number 123
_space_group_name_Hall '-P 4 2'
_cell_length_a 4.976
_cell_length_b 4.976
_cell_length_c 4.945
_cell_angle_alpha 90.00
_cell_angle_beta 90.00
_cell_angle_gamma 90.00
loop_
_atom_site_label
_atom_site_type_symbol
_atom_site_fract_x
_atom_site_fract_y
_atom_site_fract_z
Ca1 Ca 0.000 0.500 0.000
Pm1 Pm 0.000 0.000 0.500
In1 In 0.500 0.500 0.500
N1 N 0.000 0.000 0.000
# Total DFT energy (no corrections): -4.72 eV per atom
# Density of states at the Fermi level: 4.9 states/eV/cell

***

Record 5
# CaPr2InN | Alexandria via LeMat-Bulk | GGA-PBE | optimized geometry
data_CaPr2InN
_chemical_formula_sum 'Ca1 Pr2 In1 N1'
_space_group_name_H-M_alt 'P 4/m m m'
_space_group_IT_number 123
_space_group_name_Hall '-P 4 2'
_cell_length_a 5.106
_cell_length_b 5.106
_cell_length_c 4.907
_cell_angle_alpha 90.00
_cell_angle_beta 90.00
_cell_angle_gamma 90.00
loop_
_atom_site_label
_atom_site_type_symbol
_atom_site_fract_x
_atom_site_fract_y
_atom_site_fract_z
Ca1 Ca 0.000 0.000 0.000
Pr1 Pr 0.000 0.500 0.500
In1 In 0.500 0.500 0.000
N1 N 0.000 0.000 0.500
# Total DFT energy (no corrections): -5.33 eV per atom
# Density of states at the Fermi level: 1.9 states/eV/cell

***

Record 6
# Ca3PuIn2N6 | Alexandria via LeMat-Bulk | GGA-PBE | optimized geometry
data_Ca3PuIn2N6
_chemical_formula_sum 'Ca6 Pu2 In4 N12'
_space_group_name_H-M_alt 'C 1 2/m 1'
_space_group_IT_number 12
_space_group_name_Hall '-C 2y'
_cell_length_a 5.728
_cell_length_b 10.504
_cell_length_c 5.868
_cell_angle_alpha 90.00
_cell_angle_beta 105.37
_cell_angle_gamma 90.00
loop_
_atom_site_label
_atom_site_type_symbol
_atom_site_fract_x
_atom_site_fract_y
_atom_site_fract_z
Ca1 Ca 0.000 0.000 0.000
Ca2 Ca 0.000 0.327 0.000
Pu1 Pu 0.000 0.500 0.500
In1 In 0.000 0.176 0.500
N1 N 0.207 0.500 0.270
N2 N 0.250 0.157 0.270
# Total DFT energy (no corrections): -6.96 eV per atom
# Density of states at the Fermi level: 7.8 states/eV/cell

***

Record 7
# Ca3Pu3InN8 | Alexandria via LeMat-Bulk | GGA-PBE | optimized geometry
data_Ca3Pu3InN8
_chemical_formula_sum 'Ca9 Pu9 In3 N24'
_space_group_name_H-M_alt 'R -3 m'
_space_group_IT_number 166
_space_group_name_Hall '-R 3 2"'
_cell_length_a 6.8114
_cell_length_b 6.8114
_cell_length_c 17.0136
_cell_angle_alpha 90.00
_cell_angle_beta 90.00
_cell_angle_gamma 120.00
loop_
_atom_site_label
_atom_site_type_symbol
_atom_site_fract_x
_atom_site_fract_y
_atom_site_fract_z
Ca1 Ca 0.0000 0.5000 0.0000
Pu1 Pu 0.0000 0.5000 0.5000
In1 In 0.0000 0.0000 0.5000
N1 N 0.0000 0.0000 0.2410
N2 N 0.0117 0.5058 0.7653
# Total DFT energy (no corrections): -8.68 eV per atom
# Density of states at the Fermi level: 53.2 states/eV/cell

***

Record 8
# CaPuInN3 | Alexandria via LeMat-Bulk | GGA-PBE | optimized geometry
data_CaPuInN3
_chemical_formula_sum 'Ca2 Pu2 In2 N6'
_space_group_name_H-M_alt 'P 1 21/m 1'
_space_group_IT_number 11
_space_group_name_Hall '-P 2yb'
_cell_length_a 7.096
_cell_length_b 3.422
_cell_length_c 8.409
_cell_angle_alpha 90.00
_cell_angle_beta 90.21
_cell_angle_gamma 90.00
loop_
_atom_site_label
_atom_site_type_symbol
_atom_site_fract_x
_atom_site_fract_y
_atom_site_fract_z
Ca1 Ca 0.140 0.250 0.184
Pu1 Pu 0.381 0.750 0.855
In1 In 0.166 0.250 0.568
N1 N 0.159 0.750 0.409
N2 N 0.170 0.250 0.844
N3 N 0.410 0.750 0.109
# Total DFT energy (no corrections): -7.86 eV per atom
# Density of states at the Fermi level: 13.3 states/eV/cell